(1)
# YEr2S PBE optimized geometry
# **Volume**: 28.3 Å³/atom
# **DOS(E_F)**: 11.0 states/eV per cell
# **Raw formation energy**: -716 meV per atom
# **Total moment**: 0.72 μB/f.u.
# **Raw total energy**: -5.65 eV per atom
data_YEr2S
_chemical_formula_sum 'Y3 Er6 S3'
_cell_length_a 3.6195
_cell_length_b 3.6195
_cell_length_c 29.9494
_cell_angle_alpha 90.00
_cell_angle_beta 90.00
_cell_angle_gamma 120.00
_symmetry_space_group_name_H-M 'R -3 m'
_symmetry_Int_Tables_number 166
_symmetry_space_group_name_Hall '-R 3 2"'
loop_
_atom_site_label
_atom_site_fract_x
_atom_site_fract_y
_atom_site_fract_z
_atom_site_occupancy
Y1 0.0000 0.0000 0.0000 1
Er1 0.0000 0.0000 0.1120 1
S1 0.0000 0.0000 0.5000 1


(2)
# YErS3 PBE optimized geometry
# **Volume**: 25.5 Å³/atom
# **DOS(E_F)**: 0.0 states/eV per cell
# **Raw formation energy**: -1925 meV per atom
# **Total moment**: 0.00 μB/f.u.
# **Raw total energy**: -6.61 eV per atom
data_YErS3
_chemical_formula_sum 'Y6 Er6 S18'
_cell_length_a 6.6508
_cell_length_b 6.6508
_cell_length_c 19.9774
_cell_angle_alpha 90.00
_cell_angle_beta 90.00
_cell_angle_gamma 120.00
_symmetry_space_group_name_H-M 'R 3 2'
_symmetry_Int_Tables_number 155
_symmetry_space_group_name_Hall 'R 3 2"'
loop_
_atom_site_label
_atom_site_fract_x
_atom_site_fract_y
_atom_site_fract_z
_atom_site_occupancy
Y1 0.0000 0.0000 0.1522 1
Er1 0.0000 0.0000 0.3461 1
S1 0.0043 0.3009 0.2503 1


(3)
# Y2ErS4 PBE optimized geometry
# **Volume**: 24.7 Å³/atom
# **DOS(E_F)**: 5.1 states/eV per cell
# **Raw formation energy**: -2019 meV per atom
# **Distance to the lowest polymorph of the same formula**: 22.5 meV per atom
# **Total moment**: 0.00 μB/f.u.
# **Raw total energy**: -6.88 eV per atom
data_Y2ErS4
_chemical_formula_sum 'Y4 Er2 S8'
_cell_length_a 14.2355
_cell_length_b 3.9350
_cell_length_c 6.9002
_cell_angle_alpha 90.00
_cell_angle_beta 116.60
_cell_angle_gamma 90.00
_symmetry_space_group_name_H-M 'C 1 2/m 1'
_symmetry_Int_Tables_number 12
loop_
_symmetry_equiv_pos_as_xyz
'x,y,z'
'-x,-y,-z'
'-x,y,-z'
'x,-y,z'
'x+1/2,y+1/2,z'
'-x+1/2,-y+1/2,-z'
'-x+1/2,y+1/2,-z'
'x+1/2,-y+1/2,z'
loop_
_atom_site_label
_atom_site_fract_x
_atom_site_fract_y
_atom_site_fract_z
_atom_site_occupancy
Y1 0.2266 0.0000 0.2190 1
Er1 0.0000 0.5000 0.5000 1
S1 0.1228 0.5000 0.9344 1
S2 0.1369 0.0000 0.5017 1


(4)
# Y2ErS4 PBE optimized geometry
# **Volume**: 23.0 Å³/atom
# **DOS(E_F)**: 8.4 states/eV per cell
# **Raw formation energy**: -2041 meV per atom
# **Distance to the lowest polymorph of the same formula**: 0.0 meV per atom
# **Total moment**: 0.00 μB/f.u.
# **Raw total energy**: -6.90 eV per atom
data_Y2ErS4
_chemical_formula_sum 'Y8 Er4 S16'
_cell_length_a 3.7886
_cell_length_b 12.9329
_cell_length_c 13.1178
_cell_angle_alpha 90.00
_cell_angle_beta 90.00
_cell_angle_gamma 90.00
_symmetry_space_group_name_H-M 'C m c m'
_symmetry_Int_Tables_number 63
_symmetry_space_group_name_Hall '-C 2c 2'
loop_
_atom_site_label
_atom_site_fract_x
_atom_site_fract_y
_atom_site_fract_z
_atom_site_occupancy
Y1 0.0000 0.1294 0.0702 1
Er1 0.0000 0.3727 0.2500 1
S1 0.0000 0.0241 0.2500 1
S2 0.0000 0.2225 0.6235 1
S3 0.0000 0.5000 0.0000 1


(5)
# Y3ErS PBE optimized geometry
# **Volume**: 29.9 Å³/atom
# **DOS(E_F)**: 9.1 states/eV per cell
# **Raw formation energy**: -657 meV per atom
# **Total moment**: 0.01 μB/f.u.
# **Raw total energy**: -6.27 eV per atom
data_Y3ErS
_chemical_formula_sum 'Y3 Er1 S1'
_cell_length_a 5.3045
_cell_length_b 5.3045
_cell_length_c 5.3045
_cell_angle_alpha 90.00
_cell_angle_beta 90.00
_cell_angle_gamma 90.00
_symmetry_space_group_name_H-M 'P m -3 m'
_symmetry_Int_Tables_number 221
_symmetry_space_group_name_Hall '-P 4 2 3'
loop_
_atom_site_label
_atom_site_fract_x
_atom_site_fract_y
_atom_site_fract_z
_atom_site_occupancy
Y1 0.0000 0.0000 0.5000 1
Er1 0.5000 0.5000 0.5000 1
S1 0.0000 0.0000 0.0000 1


(6)
# YEr6S8 PBE optimized geometry
# **Volume**: 21.7 Å³/atom
# **DOS(E_F)**: 23.4 states/eV per cell
# **Raw formation energy**: -2030 meV per atom
# **Total moment**: 0.00 μB/f.u.
# **Raw total energy**: -6.49 eV per atom
data_YEr6S8
_chemical_formula_sum 'Y4 Er24 S32'
_cell_length_a 10.9169
_cell_length_b 10.9169
_cell_length_c 10.9169
_cell_angle_alpha 90.00
_cell_angle_beta 90.00
_cell_angle_gamma 90.00
_symmetry_space_group_name_H-M 'F m -3 m'
_symmetry_Int_Tables_number 225
_symmetry_space_group_name_Hall '-F 4 2 3'
loop_
_atom_site_label
_atom_site_fract_x
_atom_site_fract_y
_atom_site_fract_z
_atom_site_occupancy
Y1 0.0000 0.0000 0.0000 1
Er1 0.0000 0.2500 0.2500 1
S1 0.0000 0.0000 0.2531 1
S2 0.2500 0.2500 0.2500 1


(7)
# YErS2 PBE optimized geometry
# **Volume**: 20.8 Å³/atom
# **DOS(E_F)**: 4.8 states/eV per cell
# **Raw formation energy**: -1977 meV per atom
# **Distance to the lowest polymorph of the same formula**: 0.0 meV per atom
# **Total moment**: 0.00 μB/f.u.
# **Raw total energy**: -6.80 eV per atom
data_YErS2
_chemical_formula_sum 'Y3 Er3 S6'
_cell_length_a 3.8945
_cell_length_b 3.8945
_cell_length_c 19.0293
_cell_angle_alpha 90.00
_cell_angle_beta 90.00
_cell_angle_gamma 120.00
_symmetry_space_group_name_H-M 'R -3 m'
_symmetry_Int_Tables_number 166
_symmetry_space_group_name_Hall '-R 3 2"'
loop_
_atom_site_label
_atom_site_fract_x
_atom_site_fract_y
_atom_site_fract_z
_atom_site_occupancy
Y1 0.0000 0.0000 0.0000 1
Er1 0.0000 0.0000 0.5000 1
S1 0.0000 0.0000 0.2482 1


(8)
# YEr3S3 PBE optimized geometry
# **Volume**: 22.9 Å³/atom
# **DOS(E_F)**: 10.4 states/eV per cell
# **Raw formation energy**: -1677 meV per atom
# **Total moment**: 0.00 μB/f.u.
# **Raw total energy**: -6.32 eV per atom
data_YEr3S3
_chemical_formula_sum 'Y4 Er12 S12'
_cell_length_a 10.8884
_cell_length_b 10.8884
_cell_length_c 5.4054
_cell_angle_alpha 90.00
_cell_angle_beta 90.00
_cell_angle_gamma 90.00
_symmetry_space_group_name_H-M 'P 42/m n m'
_symmetry_Int_Tables_number 136
_symmetry_space_group_name_Hall '-P 4n 2n'
loop_
_atom_site_label
_atom_site_fract_x
_atom_site_fract_y
_atom_site_fract_z
_atom_site_occupancy
Y1 0.1212 0.1212 0.0000 1
Er1 0.1201 0.6267 0.0000 1
Er2 0.1271 0.8729 0.5000 1
S1 0.1255 0.3747 0.0000 1
S2 0.1273 0.8727 0.0000 1